Record 1
Entry from Alexandria: a relaxed structure of TmPRu2C (PBE).

formation enthalpy at 0 K	-668.4	meV per atom

Cell: 5.8676 5.8676 7.0190 Å, 90.00 90.00 142.89°
Fractional positions:
1 Tm 0.0423 0.9577 0.7500
2 Tm 0.9577 0.0423 0.2500
3 P 0.2318 0.7682 0.2500
4 P 0.7682 0.2318 0.7500
5 Ru 0.3355 0.6645 0.5520
6 Ru 0.3355 0.6645 0.9480
7 Ru 0.6645 0.3355 0.0520
8 Ru 0.6645 0.3355 0.4480
9 C 0.5000 0.5000 0.0000
10 C 0.5000 0.5000 0.5000

Record 2
Entry from Alexandria: a relaxed structure of UPRu2C (PBE).

formation enthalpy at 0 K	-440.0	meV per atom

Cell: 5.9302 5.9302 6.9370 Å, 90.00 90.00 142.97°
Fractional positions:
1 U 0.0451 0.9549 0.7500
2 U 0.9549 0.0451 0.2500
3 P 0.2277 0.7723 0.2500
4 P 0.7723 0.2277 0.7500
5 Ru 0.3330 0.6670 0.5511
6 Ru 0.3330 0.6670 0.9489
7 Ru 0.6670 0.3330 0.0511
8 Ru 0.6670 0.3330 0.4489
9 C 0.5000 0.5000 0.0000
10 C 0.5000 0.5000 0.5000

Record 3
Entry from Alexandria: a relaxed structure of Y2P2Ru2C (PBE).

formation enthalpy at 0 K	-881.6	meV per atom

Cell: 10.9792 3.9373 6.6849 Å, 90.00 126.34 90.00°
Fractional positions:
1 Y 0.0654 0.0000 0.3082
2 Y 0.4346 0.5000 0.6918
3 Y 0.5654 0.5000 0.3082
4 Y 0.9346 0.0000 0.6918
5 P 0.1730 0.5000 0.7033
6 P 0.3270 0.0000 0.2967
7 P 0.6730 0.0000 0.7033
8 P 0.8270 0.5000 0.2967
9 Ru 0.1984 0.5000 0.0871
10 Ru 0.3016 0.0000 0.9129
11 Ru 0.6984 0.0000 0.0871
12 Ru 0.8016 0.5000 0.9129
13 C 0.0000 0.5000 0.0000
14 C 0.5000 0.0000 0.0000

Record 4
Entry from Alexandria: a relaxed structure of YPRu2C (PBE).

formation enthalpy at 0 K	-676.0	meV per atom

Cell: 5.8510 5.8510 7.0698 Å, 90.00 90.00 142.19°
Fractional positions:
1 Y 0.0440 0.9560 0.7500
2 Y 0.9560 0.0440 0.2500
3 P 0.2313 0.7687 0.2500
4 P 0.7687 0.2313 0.7500
5 Ru 0.3347 0.6653 0.5530
6 Ru 0.3347 0.6653 0.9470
7 Ru 0.6653 0.3347 0.0530
8 Ru 0.6653 0.3347 0.4470
9 C 0.5000 0.5000 0.0000
10 C 0.5000 0.5000 0.5000

Record 5
Entry from Alexandria: a relaxed structure of ZnPRu2C (PBE).

formation enthalpy at 0 K	486.4	meV per atom

Cell: 4.0908 4.0908 3.8914 Å, 90.00 90.00 90.00°
Fractional positions:
1 Zn 0.0000 0.0000 0.0000
2 P 0.5000 0.5000 0.0000
3 Ru 0.0000 0.5000 0.5000
4 Ru 0.5000 0.0000 0.5000
5 C 0.0000 0.0000 0.5000

Record 6
Entry from Alexandria: a relaxed structure of P2CS (PBE).

formation energy (no corrections)	1.773	eV/atom
E above lowest polymorph	978	meV per atom

Cell: 5.8252 5.8252 5.8252 Å, 90.00 90.00 90.00°
Fractional positions:
1 P 0.2500 0.2500 0.2500
2 P 0.2500 0.2500 0.7500
3 P 0.2500 0.7500 0.2500
4 P 0.2500 0.7500 0.7500
5 P 0.7500 0.2500 0.2500
6 P 0.7500 0.2500 0.7500
7 P 0.7500 0.7500 0.2500
8 P 0.7500 0.7500 0.7500
9 C 0.0000 0.0000 0.0000
10 C 0.0000 0.5000 0.5000
11 C 0.5000 0.0000 0.5000
12 C 0.5000 0.5000 0.0000
13 S 0.0000 0.0000 0.5000
14 S 0.0000 0.5000 0.0000
15 S 0.5000 0.0000 0.0000
16 S 0.5000 0.5000 0.5000

Record 7
Entry from Alexandria: a relaxed structure of PCS2 (PBE).

formation energy (no corrections)	1.853	eV/atom
E above lowest polymorph	907	meV per atom

Cell: 5.9358 5.9358 5.9358 Å, 90.00 90.00 90.00°
Fractional positions:
1 P 0.0000 0.0000 0.0000
2 P 0.0000 0.5000 0.5000
3 P 0.5000 0.0000 0.5000
4 P 0.5000 0.5000 0.0000
5 C 0.0000 0.0000 0.5000
6 C 0.0000 0.5000 0.0000
7 C 0.5000 0.0000 0.0000
8 C 0.5000 0.5000 0.5000
9 S 0.2500 0.2500 0.2500
10 S 0.2500 0.2500 0.7500
11 S 0.2500 0.7500 0.2500
12 S 0.2500 0.7500 0.7500
13 S 0.7500 0.2500 0.2500
14 S 0.7500 0.2500 0.7500
15 S 0.7500 0.7500 0.2500
16 S 0.7500 0.7500 0.7500

Record 8
Entry from Alexandria: a relaxed structure of PCS2 (PBE).

formation energy (no corrections)	1.288	eV/atom
E above lowest polymorph	342	meV per atom

Cell: 5.7351 5.7351 7.2317 Å, 90.00 90.00 90.00°
Fractional positions:
1 P 0.0000 0.0000 0.0000
2 P 0.0000 0.5000 0.2500
3 P 0.5000 0.0000 0.7500
4 P 0.5000 0.5000 0.5000
5 C 0.0000 0.0000 0.5000
6 C 0.0000 0.5000 0.7500
7 C 0.5000 0.0000 0.2500
8 C 0.5000 0.5000 0.0000
9 S 0.1848 0.7500 0.6250
10 S 0.2500 0.1848 0.3750
11 S 0.2500 0.3152 0.8750
12 S 0.3152 0.7500 0.1250
13 S 0.6848 0.2500 0.1250
14 S 0.7500 0.6848 0.8750
15 S 0.7500 0.8152 0.3750
16 S 0.8152 0.2500 0.6250

Record 9
Entry from Alexandria: a relaxed structure of P2CS2 (PBE).

formation energy (no corrections)	1.972	eV/atom
E above lowest polymorph	590	meV per atom

Cell: 4.3418 4.3418 4.6311 Å, 90.00 90.00 90.00°
Fractional positions:
1 P 0.0000 0.0000 0.0000
2 P 0.0000 0.0000 0.5000
3 C 0.5000 0.5000 0.0000
4 S 0.0000 0.5000 0.5000
5 S 0.5000 0.0000 0.5000

Record 10
Entry from Alexandria: a relaxed structure of PCS2 (PBE).

formation energy (no corrections)	0.945	eV/atom
E above lowest polymorph	0	meV per atom

Cell: 3.6513 3.6513 19.3686 Å, 90.00 90.00 120.00°
Fractional positions:
1 P 0.0000 0.0000 0.0000
2 P 0.3333 0.6667 0.6667
3 P 0.6667 0.3333 0.3333
4 C 0.0000 0.0000 0.5000
5 C 0.3333 0.6667 0.1667
6 C 0.6667 0.3333 0.8333
7 S 0.0000 0.0000 0.4179
8 S 0.0000 0.0000 0.5821
9 S 0.3333 0.6667 0.0846
10 S 0.3333 0.6667 0.2487
11 S 0.6667 0.3333 0.7513
12 S 0.6667 0.3333 0.9154

Record 11
Entry from Alexandria: a relaxed structure of PCS3 (PBE).

formation energy (no corrections)	1.385	eV/atom
E above lowest polymorph	0	meV per atom

Cell: 4.0931 4.0931 4.0931 Å, 90.00 90.00 90.00°
Fractional positions:
1 P 0.0000 0.0000 0.0000
2 C 0.5000 0.5000 0.5000
3 S 0.0000 0.5000 0.5000
4 S 0.5000 0.0000 0.5000
5 S 0.5000 0.5000 0.0000

Record 12
Entry from Alexandria: a relaxed structure of P3CS (PBE).

formation energy (no corrections)	1.361	eV/atom
E above lowest polymorph	0	meV per atom

Cell: 4.0881 4.0881 4.0881 Å, 90.00 90.00 90.00°
Fractional positions:
1 P 0.0000 0.0000 0.5000
2 P 0.0000 0.5000 0.0000
3 P 0.5000 0.0000 0.0000
4 C 0.0000 0.0000 0.0000
5 S 0.5000 0.5000 0.5000